Density functional theory data (GGA+U) for an optimized crystal structure of Li4Cu2Ni3Sb3O16.

Lattice parameters (Å, degrees): 6.0263 6.0792 9.6761 92.46 90.32 119.60
Last column: nearest neighbours and their distance in Å.
Atoms (fractional coordinates):
Li1 0.0000 0.0000 0.0000  4 O 1.80-2.00
Li2 0.0325 0.0567 0.5214  3 O 1.80-1.95
Li3 0.3348 0.6448 0.6129  4 O 1.99-2.06
Li4 0.6690 0.3243 0.0982  4 O 1.97-2.10
Cu1 0.3137 0.6311 0.0060  5 O 1.98-2.19
Cu2 0.6496 0.2806 0.5275  5 O 2.01-2.05
Ni1 0.1701 0.3291 0.2860  6 O 2.04-2.16
Ni2 0.3329 0.1404 0.7904  6 O 2.04-2.14
Ni3 0.8279 0.1496 0.7906  4 O 1.91-1.93
Sb1 0.1678 0.8208 0.2891  6 O 1.98-2.06
Sb2 0.6634 0.8197 0.2876  6 O 1.99-2.06
Sb3 0.8185 0.6320 0.7881  6 O 2.01-2.04
O1 0.0327 0.5130 0.1635  1 Sb 1.98, 1 Li 1.99, 1 Ni 2.09, 1 Cu 2.15
O2 0.1386 0.2978 0.9024  1 Li 1.88, 1 Ni 1.93, 1 Cu 1.98
O3 0.1464 0.8057 0.9045  1 Li 1.99, 1 Sb 2.02, 1 Cu 2.06, 1 Ni 2.14
O4 0.3238 0.1404 0.4053  1 Li 1.95, 1 Sb 1.98, 1 Cu 2.05, 1 Ni 2.16
O5 0.3420 0.6697 0.4016  2 Sb 2.04, 1 Li 2.06, 1 Ni 2.07
O6 0.4806 0.9535 0.1654  2 Sb 2.06, 1 Li 2.10, 1 Cu 2.24
O7 0.4874 0.5101 0.1628  1 Sb 1.99, 1 Li 2.01, 1 Ni 2.09, 1 Cu 2.19
O8 0.5099 0.4470 0.6572  1 Li 2.01, 1 Cu 2.01, 1 Sb 2.03, 1 Ni 2.13
O9 0.5323 0.0113 0.6709  2 Ni 1.91-2.07, 1 Li 1.99, 1 Cu 2.04
O10 0.6566 0.7934 0.9060  1 Li 2.00, 1 Sb 2.02, 1 Cu 2.07, 1 Ni 2.24
O11 0.6771 0.3158 0.8949  2 Ni 1.92-2.04, 1 Li 1.97, 1 Sb 2.01
O12 0.8299 0.1426 0.4022  1 Li 1.94, 1 Sb 1.99, 1 Cu 2.04, 1 Ni 2.14
O13 0.8474 0.6829 0.4001  2 Sb 2.02, 1 Li 2.24
O14 0.9579 0.4623 0.6564  1 Cu 2.01, 1 Li 2.03, 1 Sb 2.04, 1 Ni 2.16
O15 0.9752 0.9670 0.6984  1 Li 1.80, 1 Ni 1.93, 1 Sb 2.01
O16 0.9950 0.9803 0.1848  1 Li 1.80

Calculated values
E_tot: -150.435 eV per cell